Record 1
The following is a PBE calculation of YInAu2 after structural relaxation, from OQMD.

```
data_YInAu2
_chemical_formula_sum 'Y4 In4 Au8'
_symmetry_space_group_name_H-M 'F -4 3 m'
_symmetry_Int_Tables_number 216
_symmetry_space_group_name_Hall 'F -4 2 3'
_cell_length_a 6.9724
_cell_length_b 6.9724
_cell_length_c 6.9724
_cell_angle_alpha 90.00
_cell_angle_beta 90.00
_cell_angle_gamma 90.00
loop_
_atom_site_label
_atom_site_type_symbol
_atom_site_fract_x
_atom_site_fract_y
_atom_site_fract_z
Y1 Y 0.0000 0.0000 0.0000
In1 In 0.2500 0.2500 0.7500
Au1 Au 0.0000 0.0000 0.5000
Au2 Au 0.2500 0.2500 0.2500
```

Calculated values
Calculated density ... 11711 kg/m³
Uncorrected energy ... -4.4539 eV per atom
Size of the total moment ... 0.000 μB per atom

Record 2
The following is a PBE calculation of KTb after structural relaxation, from OQMD.

```
data_KTb
_chemical_formula_sum 'K1 Tb1'
_symmetry_space_group_name_H-M 'P 4/m m m'
_symmetry_Int_Tables_number 123
_symmetry_space_group_name_Hall '-P 4 2'
_cell_length_a 3.4942
_cell_length_b 3.4942
_cell_length_c 7.0030
_cell_angle_alpha 90.00
_cell_angle_beta 90.00
_cell_angle_gamma 90.00
loop_
_atom_site_label
_atom_site_type_symbol
_atom_site_fract_x
_atom_site_fract_y
_atom_site_fract_z
K1 K 0.0000 0.0000 0.0000
Tb1 Tb 0.5000 0.5000 0.5000
```

Calculated values
Calculated density ... 3846 kg/m³
Uncorrected energy ... -2.1476 eV per atom
Size of the total moment ... 0.054 μB per atom

Record 3
The following is a PBE calculation of ErNiBi after structural relaxation, from OQMD.

```
data_ErNiBi
_chemical_formula_sum 'Er2 Ni2 Bi2'
_symmetry_space_group_name_H-M 'P 63 m c'
_symmetry_Int_Tables_number 186
_symmetry_space_group_name_Hall 'P 6c -2c'
_cell_length_a 4.5120
_cell_length_b 4.5120
_cell_length_c 7.3888
_cell_angle_alpha 90.00
_cell_angle_beta 90.00
_cell_angle_gamma 120.00
loop_
_atom_site_label
_atom_site_type_symbol
_atom_site_fract_x
_atom_site_fract_y
_atom_site_fract_z
Er1 Er 0.0000 0.0000 0.0000
Ni1 Ni 0.3333 0.6667 0.3543
Bi1 Bi 0.3333 0.6667 0.7389
```

Calculated values
Calculated density ... 11088 kg/m³
Uncorrected energy ... -5.3171 eV per atom
Size of the total moment ... 0.001 μB per atom

Record 4
The following is a PBE calculation of TbTmCd2Au4 after structural relaxation, from OQMD.

```
data_TbTmCd2Au4
_chemical_formula_sum 'Tb1 Tm1 Cd2 Au4'
_symmetry_space_group_name_H-M 'P 4/m m m'
_symmetry_Int_Tables_number 123
_symmetry_space_group_name_Hall '-P 4 2'
_cell_length_a 4.9198
_cell_length_b 4.9198
_cell_length_c 6.9605
_cell_angle_alpha 90.00
_cell_angle_beta 90.00
_cell_angle_gamma 90.00
loop_
_atom_site_label
_atom_site_type_symbol
_atom_site_fract_x
_atom_site_fract_y
_atom_site_fract_z
Tb1 Tb 0.0000 0.0000 0.0000
Tm1 Tm 0.5000 0.5000 0.5000
Cd1 Cd 0.0000 0.0000 0.5000
Cd2 Cd 0.5000 0.5000 0.0000
Au1 Au 0.0000 0.5000 0.2557
```

Calculated values
E_form ... -0.678 eV per atom
Calculated density ... 13213 kg/m³
Size of the total moment ... 0.000 μB per atom